This record from the Open Quantum Materials Database describes DyCoPO after structural relaxation. The functional is GGA+U.

Calculated values
As for the crystal system: tetragonal. For the energy above the lowest structure with this stoichiometry, the calculation gives 148.9 kJ/mol of atoms.

Cell and atoms, written as CIF:
```
data_DyCoPO
_symmetry_space_group_name_H-M 'P 4/n m m'
_symmetry_Int_Tables_number 129
_cell_length_a 4.334
_cell_length_b 4.334
_cell_length_c 8.813
_cell_angle_alpha 90.00
_cell_angle_beta 90.00
_cell_angle_gamma 90.00
loop_
_symmetry_equiv_pos_as_xyz
'x,y,z'
'-x,-y,-z'
'-y+1/2,x,z'
'y+1/2,-x,-z'
'-x+1/2,-y+1/2,z'
'x+1/2,y+1/2,-z'
'y,-x+1/2,z'
'-y,x+1/2,-z'
'x+1/2,-y,-z'
'-x+1/2,y,z'
'-y,-x,-z'
'y,x,z'
'-x,y+1/2,-z'
'x,-y+1/2,z'
'y+1/2,x+1/2,-z'
'-y+1/2,-x+1/2,z'
loop_
_atom_site_label
_atom_site_type_symbol
_atom_site_fract_x
_atom_site_fract_y
_atom_site_fract_z
Dy1 Dy 0.250 0.750 0.000
Co1 Co 0.250 0.250 0.483
P1 P 0.250 0.250 0.180
O1 O 0.250 0.750 0.500
```